a | First-principles (PBE) data for NbFeNi2H after structural relaxation, as listed in Alexandria via LeMat-Bulk.

The value obtained for the density of states at the Fermi level is 0.12 states/eV/atom.

It has space group P4/mmm (No. 123), with a = 3.6187 Å, b = 3.6187 Å, c = 3.9022 Å, α = 90.00°, β = 90.00° and γ = 90.00°. The inequivalent atoms are Nb at (0.0000, 0.0000, 0.0000), Fe at (0.5000, 0.5000, 0.0000), Ni at (0.0000, 0.5000, 0.5000) and H at (0.5000, 0.5000, 0.5000).

b | First-principles (PBE) data for NbFeNi2H after structural relaxation, as listed in Alexandria via LeMat-Bulk.

The value obtained for the density of states at the Fermi level is 0.66 states/eV/atom.

It has space group P4/mmm (No. 123), with a = 3.5662 Å, b = 3.5662 Å, c = 4.0850 Å, α = 90.00°, β = 90.00° and γ = 90.00°. The inequivalent atoms are Nb at (0.0000, 0.0000, 0.0000), Fe at (0.5000, 0.5000, 0.0000), Ni at (0.0000, 0.5000, 0.5000) and H at (0.0000, 0.0000, 0.5000).

Q: Which of them is the least stable? A: b.

a | First-principles (PBE) data for NbFe2HPd after structural relaxation, as listed in Alexandria via LeMat-Bulk.

The value obtained for the density of states at the Fermi level is 0.53 states/eV/atom.

It has space group P4/mmm (No. 123), with a = 3.8692 Å, b = 3.8692 Å, c = 3.7795 Å, α = 90.00°, β = 90.00° and γ = 90.00°. The inequivalent atoms are Nb at (0.0000, 0.0000, 0.0000), Fe at (0.0000, 0.5000, 0.5000), H at (0.5000, 0.5000, 0.5000) and Pd at (0.5000, 0.5000, 0.0000).

b | First-principles (PBE) data for NbFe2HPd after structural relaxation, as listed in Alexandria via LeMat-Bulk.

The value obtained for the density of states at the Fermi level is 0.70 states/eV/atom.

It has space group P4/mmm (No. 123), with a = 3.8098 Å, b = 3.8098 Å, c = 3.9515 Å, α = 90.00°, β = 90.00° and γ = 90.00°. The inequivalent atoms are Nb at (0.0000, 0.0000, 0.0000), Fe at (0.0000, 0.5000, 0.5000), H at (0.0000, 0.0000, 0.5000) and Pd at (0.5000, 0.5000, 0.0000).

Q: Which of them is the least stable? A: a.

a | First-principles (PBE) data for RbNbFeHPd after structural relaxation, as listed in Alexandria via LeMat-Bulk.

The value obtained for the density of states at the Fermi level is 0.69 states/eV/atom.

It has space group Pm (No. 6), with a = 3.1265 Å, b = 4.5816 Å, c = 7.1915 Å, α = 90.00°, β = 102.37° and γ = 90.00°. The inequivalent atoms are Rb at (0.0000, 0.0000, 0.0000), Nb at (0.7284, 0.5000, 0.4422), Fe at (0.3508, 0.5000, 0.6927), H at (0.4679, 0.5000, 0.9364) and Pd at (0.2582, 0.0000, 0.5005).

b | First-principles (PBE) data for RbNbFeHPd after structural relaxation, as listed in Alexandria via LeMat-Bulk.

The value obtained for the density of states at the Fermi level is 0.59 states/eV/atom.

It has space group P1 (No. 1), with a = 3.1167 Å, b = 3.2848 Å, c = 8.5746 Å, α = 86.23°, β = 89.77° and γ = 89.98°. The inequivalent atoms are Rb at (0.0000, 0.0000, 0.0000), Nb at (0.0055, 0.0788, 0.4864), Fe at (0.5067, 0.5474, 0.3457), H at (0.0082, 0.4119, 0.2633) and Pd at (0.5033, 0.5474, 0.6802).

c | First-principles (PBE) data for RbNbFeHPd after structural relaxation, as listed in Alexandria via LeMat-Bulk.

The value obtained for the density of states at the Fermi level is 0.50 states/eV/atom.

It has space group P4mm (No. 99), with a = 3.2019 Å, b = 3.2019 Å, c = 8.5776 Å, α = 90.00°, β = 90.00° and γ = 90.00°. The inequivalent atoms are Rb at (0.0000, 0.0000, 0.0000), Nb at (0.0000, 0.0000, 0.4710), Fe at (0.5000, 0.5000, 0.3402), H at (0.5000, 0.5000, 0.1570) and Pd at (0.5000, 0.5000, 0.6628).

Q: Which of them is the least stable? A: a.

a | First-principles (PBE) data for RbNbFeHPd after structural relaxation, as listed in Alexandria via LeMat-Bulk.

The value obtained for the density of states at the Fermi level is 0.48 states/eV/atom.

It has space group Pm (No. 6), with a = 3.0730 Å, b = 3.2650 Å, c = 8.7158 Å, α = 90.00°, β = 100.09° and γ = 90.00°. The inequivalent atoms are Rb at (0.0000, 0.0000, 0.0000), Nb at (0.2569, 0.0000, 0.5165), Fe at (0.8256, 0.5000, 0.6558), H at (0.3826, 0.5000, 0.7694) and Pd at (0.6593, 0.5000, 0.3201).

b | First-principles (PBE) data for RbNbFeHPd after structural relaxation, as listed in Alexandria via LeMat-Bulk.

The value obtained for the density of states at the Fermi level is 0.50 states/eV/atom.

It has space group P1 (No. 1), with a = 3.2073 Å, b = 4.5578 Å, c = 7.6668 Å, α = 102.56°, β = 90.06° and γ = 110.57°. The inequivalent atoms are Rb at (0.0000, 0.0000, 0.0000), Nb at (0.5517, 0.1026, 0.5201), Fe at (0.2377, 0.4740, 0.6206), H at (0.2475, 0.4913, 0.8261) and Pd at (0.8017, 0.6037, 0.3632).

Q: Which of them is the least stable? A: b.

a | First-principles (PBE) data for RbNbFeHPd after structural relaxation, as listed in Alexandria via LeMat-Bulk.

The value obtained for the density of states at the Fermi level is 0.64 states/eV/atom.

It has space group Cm (No. 8), with a = 7.2835 Å, b = 4.0324 Å, c = 7.5110 Å, α = 90.00°, β = 107.60° and γ = 90.00°. The inequivalent atoms are Rb at (0.0000, 0.0000, 0.0000), Nb at (0.4890, 0.0000, 0.4590), Fe at (0.3277, 0.5000, 0.4553), H at (0.1445, 0.5000, 0.2685) and Pd at (0.2145, 0.0000, 0.6445).

b | First-principles (PBE) data for RbNbFeHPd after structural relaxation, as listed in Alexandria via LeMat-Bulk.

The value obtained for the density of states at the Fermi level is 0.62 states/eV/atom.

It has space group Amm2 (No. 38), with a = 3.7950 Å, b = 3.4177 Å, c = 15.3008 Å, α = 90.00°, β = 90.00° and γ = 90.00°. The inequivalent atoms are Rb at (0.0000, 0.0000, 0.0000), Nb at (0.5000, 0.0000, 0.2866), Fe at (0.0000, 0.0000, 0.7675), H at (0.0000, 0.0000, 0.2423) and Pd at (0.5000, 0.0000, 0.6503).

Q: Which of them is the least stable? A: b.

a | First-principles (PBE) data for NbFe2HPt after structural relaxation, as listed in Alexandria via LeMat-Bulk.

The value obtained for the density of states at the Fermi level is 0.80 states/eV/atom.

It has space group P4/mmm (No. 123), with a = 3.8036 Å, b = 3.8036 Å, c = 3.8668 Å, α = 90.00°, β = 90.00° and γ = 90.00°. The inequivalent atoms are Nb at (0.0000, 0.0000, 0.0000), Fe at (0.0000, 0.5000, 0.5000), H at (0.0000, 0.0000, 0.5000) and Pt at (0.5000, 0.5000, 0.0000).

b | First-principles (PBE) data for NbFe2HPt after structural relaxation, as listed in Alexandria via LeMat-Bulk.

The value obtained for the density of states at the Fermi level is 0.68 states/eV/atom.

It has space group P4/mmm (No. 123), with a = 3.8849 Å, b = 3.8849 Å, c = 3.7851 Å, α = 90.00°, β = 90.00° and γ = 90.00°. The inequivalent atoms are Nb at (0.0000, 0.0000, 0.0000), Fe at (0.0000, 0.5000, 0.5000), H at (0.5000, 0.5000, 0.5000) and Pt at (0.5000, 0.5000, 0.0000).

Q: Which of them is the least stable? A: b.